# 1
Material: Nd2Sc2Bi2C
Method: DFT, PBE-GGA
State: relaxed

Results
DOS at the Fermi energy   6.71 states/eV per cell
Calculated volume   175 Å³/cell
E_form   -0.781 eV/atom

Cell: 4.608 4.608 8.853 Å, 105.09 105.09 90.00°
Each line ends with the local moment (μB).
Fractional positions:
1 Nd 0.161 0.161 0.322  0.03
2 Nd 0.839 0.839 0.678  0.03
3 Sc 0.000 0.500 0.000  0.07
4 Sc 0.500 0.000 0.000  0.07
5 Bi 0.366 0.366 0.731  -0.01
6 Bi 0.634 0.634 0.269  -0.01
7 C 0.000 0.000 0.000  -0.01

=====

# 2
Material: Ga2HgSe2
Method: DFT, PBE-GGA
State: relaxed

Results
Formation energy (no corrections)   -0.222 eV per atom
Relative energy among the computed polymorphs   0.238 eV/atom
DOS at the Fermi energy   0.00 states/eV per cell
Calculated volume   431 Å³/cell

Cell: 10.752 10.752 3.726 Å, 90.00 90.00 90.00°
Fractional positions:
1 Ga 0.081 0.581 0.500
2 Ga 0.581 0.919 0.500
3 Ga 0.919 0.419 0.500
4 Ga 0.419 0.081 0.500
5 Hg 0.000 0.000 0.000
6 Hg 0.500 0.500 0.000
7 Se 0.176 0.676 0.000
8 Se 0.676 0.824 0.000
9 Se 0.824 0.324 0.000
10 Se 0.324 0.176 0.000

=====

# 3
Material: CsCoReAg2
Method: DFT, PBE-GGA
State: relaxed

Results
DOS at the Fermi energy   5.51 states/eV per cell
Calculated volume   132 Å³/cell
E_form   1.995 eV/atom

Cell: 5.033 5.222 5.033 Å, 90.00 90.00 90.00°
Each line ends with the local moment (μB).
Fractional positions:
1 Cs 0.000 0.500 0.000  0.02
2 Re 0.500 0.500 0.500  3.57
3 Co 0.000 0.000 0.000  1.39
4 Ag 0.000 0.000 0.500  0.03
5 Ag 0.500 0.000 0.000  0.01

=====

# 4
Material: LiZnAg6
Method: DFT, PBE-GGA
State: relaxed

Results
Relative energy among the computed polymorphs   0.000 eV/atom
DOS at the Fermi energy   2.11 states/eV per cell
Calculated volume   137 Å³/cell
E_form   -0.070 eV/atom

Cell: 4.051 5.023 7.693 Å, 76.27 74.73 66.22°
Fractional positions:
1 Li 0.000 0.500 0.500
2 Zn 0.000 0.000 0.000
3 Ag 0.251 0.872 0.625
4 Ag 0.503 0.245 0.750
5 Ag 0.248 0.379 0.125
6 Ag 0.497 0.755 0.250
7 Ag 0.749 0.128 0.375
8 Ag 0.752 0.621 0.875

=====

> What is the DOS at the Fermi energy in the second record?

0.00 states/eV per cell

=====

> The lowest DOS at the Fermi energy belongs to which entry?

Ga2HgSe2

=====

> Number 1 is which compound?

Nd2Sc2Bi2C

=====

Please write out number 4 again, unchanged.
Material: LiZnAg6
Method: DFT, PBE-GGA
State: relaxed

Results
Relative energy among the computed polymorphs   0.000 eV/atom
DOS at the Fermi energy   2.11 states/eV per cell
Calculated volume   137 Å³/cell
E_form   -0.070 eV/atom

Cell: 4.051 5.023 7.693 Å, 76.27 74.73 66.22°
Fractional positions:
1 Li 0.000 0.500 0.500
2 Zn 0.000 0.000 0.000
3 Ag 0.251 0.872 0.625
4 Ag 0.503 0.245 0.750
5 Ag 0.248 0.379 0.125
6 Ag 0.497 0.755 0.250
7 Ag 0.749 0.128 0.375
8 Ag 0.752 0.621 0.875